The following is a DFT calculation (PBE-GGA) of a relaxed structure of Pm2NdRuN4.

Summary:
**Formation energy without anion corrections**: -678 kJ/mol of formula units
**D(E_F)**: 2.19 states/eV/f.u.

```
data_Pm2NdRuN4
_space_group_name_H-M_alt 'C m c m'
_space_group_IT_number 63
_space_group_name_Hall '-C 2c 2'
_cell_length_a 3.496
_cell_length_b 11.942
_cell_length_c 11.993
_cell_angle_alpha 90.00
_cell_angle_beta 90.00
_cell_angle_gamma 90.00
loop_
_atom_site_label
_atom_site_fract_x
_atom_site_fract_y
_atom_site_fract_z
_atom_site_occupancy
Pm1 0.000 0.132 0.043 1
Nd1 0.000 0.379 0.250 1
Ru1 0.000 0.354 0.750 1
N1 0.000 0.065 0.250 1
N2 0.000 0.229 0.634 1
N3 0.000 0.500 0.000 1
```